Here is a relaxed structure of Sr16V8O31 from the Alexandria database. Energies are from PBE with a Hubbard U.

Summary:
**Fermi-level density of states**: 0.0022 states/eV/atom
**Calculated density**: 4.92 Mg/m³
**DFT total energy**: -6.94 eV per atom

Unit cell a=6.9115 b=11.0692 c=11.7732 alpha=62.67 beta=77.86 gamma=89.67
Space group P-1 (No. 2)
Asymmetric unit:
1 Sr 0.0858 0.2635 0.2071
2 Sr 0.0972 0.7858 0.1924
3 Sr 0.1612 0.0999 0.5492
4 Sr 0.1629 0.6038 0.5448
5 Sr 0.3355 0.1433 0.9506
6 Sr 0.3602 0.6616 0.9389
7 Sr 0.4018 0.9721 0.3075
8 Sr 0.4034 0.4676 0.3053
9 V 0.1270 0.4339 0.8695
10 V 0.1301 0.9390 0.8720
11 V 0.3733 0.8132 0.6255
12 V 0.3752 0.3122 0.6242
13 O 0.0000 0.0000 0.0000
14 O 0.0069 0.7402 0.9958
15 O 0.1113 0.0177 0.2092
16 O 0.1183 0.5144 0.1766
17 O 0.1333 0.8526 0.5453
18 O 0.1430 0.3584 0.5371
19 O 0.2448 0.3803 0.7471
20 O 0.2452 0.6252 0.7557
21 O 0.2596 0.8781 0.7434
22 O 0.2615 0.1363 0.7415
23 O 0.3263 0.4102 0.9652
24 O 0.3724 0.8977 0.9547
25 O 0.3808 0.7176 0.2970
26 O 0.3838 0.2281 0.2948
27 O 0.4919 0.7466 0.5055
28 O 0.5000 0.0000 0.5000
29 O 0.5000 0.5000 0.5000